Compound: ZrCrAu
Source: Alexandria via LeMat-Bulk
Functional: PBE-GGA
Structure: optimized geometry

Output
**Calculated density**: 8563 kg/m3
**DFT total energy**: -20.65 eV/cell
**E_form**: 266 meV/atom
**Fermi-level density of states**: 1.020 states/eV/atom
**SG**: F-43m

a = 4.535 Å, b = 4.535 Å, c = 4.535 Å
α = 60.00°, β = 60.00°, γ = 60.00°
Fractional coordinates of all 3 atoms:
Au  0.250  0.250  0.250
Cr  0.000  0.000  0.000
Zr  0.500  0.500  0.500


Compound: Tl2VFe
Source: Alexandria via LeMat-Bulk
Functional: PBE-GGA
Structure: optimized geometry

Output
**Calculated density**: 11596 kg/m3
**DFT total energy**: -19.47 eV/cell
**E_form**: 712 meV/atom
**Fermi-level density of states**: 1.301 states/eV/atom
**SG**: Fm-3m

a = 4.709 Å, b = 4.709 Å, c = 4.709 Å
α = 60.00°, β = 60.00°, γ = 60.00°
Fractional coordinates of all 4 atoms:
Tl  0.250  0.250  0.250
Tl  0.750  0.750  0.750
Fe  0.500  0.500  0.500
V  0.000  0.000  0.000


Compound: Mg7Si4
Source: Alexandria via LeMat-Bulk
Functional: PBE-GGA
Structure: optimized geometry

Output
**Calculated density**: 2140 kg/m3
**DFT total energy**: -64.44 eV/cell
**Fermi-level density of states**: 0.331 states/eV/atom
**Formation energy without anion corrections**: 0.058 eV per atom
**SG**: P1

a = 4.485 Å, b = 6.265 Å, c = 15.878 Å
α = 97.09°, β = 82.06°, γ = 90.03°
Fractional coordinates of all 22 atoms:
Mg  0.522  0.801  0.882
Mg  0.134  0.274  0.659
Mg  0.709  0.031  0.515
Mg  0.613  0.966  0.704
Mg  0.531  0.299  0.869
Mg  0.817  0.952  0.303
Mg  0.799  0.460  0.335
Mg  0.696  0.543  0.549
Mg  0.974  0.586  0.982
Mg  0.972  0.082  0.986
Mg  0.428  0.370  0.076
Mg  0.413  0.882  0.107
Mg  0.256  0.746  0.422
Mg  0.250  0.254  0.433
Si  0.887  0.198  0.159
Si  0.058  0.032  0.814
Si  0.600  0.518  0.729
Si  0.342  0.631  0.249
Si  0.889  0.602  0.160
Si  0.102  0.688  0.725
Si  0.170  0.853  0.593
Si  0.340  0.232  0.252


Compound: Ga2SnRhI
Source: Alexandria via LeMat-Bulk
Functional: PBE-GGA
Structure: optimized geometry

Output
**Calculated density**: 6410 kg/m3
**DFT total energy**: -20.76 eV/cell
**Fermi-level density of states**: 0.253 states/eV/atom
**Formation energy without anion corrections**: -0.360 eV per atom
**SG**: P4/mmm

a = 4.928 Å, b = 4.928 Å, c = 5.205 Å
α = 90.00°, β = 90.00°, γ = 90.00°
Fractional coordinates of all 5 atoms:
I  0.500  0.500  0.500
Rh  0.000  0.000  0.000
Sn  0.000  0.000  0.500
Ga  0.000  0.500  0.000
Ga  0.500  0.000  0.000


Compound: Li2TlSnHg2
Source: Alexandria via LeMat-Bulk
Functional: PBE-GGA
Structure: optimized geometry

Output
**Calculated density**: 9068 kg/m3
**DFT total energy**: -12.07 eV/cell
**E_form**: -212 meV/atom
**Fermi-level density of states**: 0.547 states/eV/atom
**SG**: P-3m1

a = 4.938 Å, b = 4.938 Å, c = 6.402 Å
α = 90.00°, β = 90.00°, γ = 120.00°
Fractional coordinates of all 6 atoms:
Li  0.333  0.667  0.765
Li  0.667  0.333  0.235
Tl  0.000  0.000  0.000
Sn  0.000  0.000  0.500
Hg  0.333  0.667  0.272
Hg  0.667  0.333  0.728


Compound: TbDy2Er6Tm
Source: Alexandria via LeMat-Bulk
Functional: PBE-GGA
Structure: optimized geometry

Output
**Calculated density**: 8858 kg/m3
**DFT total energy**: -88.96 eV/cell
**E_form**: 120 meV/atom
**Fermi-level density of states**: 1.348 states/eV/atom
**SG**: C2/c

a = 9.450 Å, b = 8.666 Å, c = 8.666 Å
α = 117.96°, β = 94.00°, γ = 94.00°
Fractional coordinates of all 20 atoms:
Tb  0.250  0.977  0.023
Tb  0.750  0.023  0.977
Dy  0.456  0.803  0.698
Dy  0.044  0.302  0.197
Dy  0.544  0.197  0.302
Dy  0.956  0.698  0.803
Er  0.057  0.125  0.750
Er  0.443  0.250  0.875
Er  0.943  0.875  0.250
Er  0.557  0.750  0.125
Er  0.315  0.981  0.430
Er  0.185  0.570  0.019
Er  0.685  0.019  0.570
Er  0.815  0.430  0.981
Er  0.119  0.709  0.496
Er  0.381  0.504  0.291
Er  0.881  0.291  0.504
Er  0.619  0.496  0.709
Tm  0.250  0.409  0.591
Tm  0.750  0.591  0.409